No. 1
# MnHPd3, single point on PBEsol structure, DFT SCAN
data_MnHPd3
_chemical_formula_sum 'Mn1 H1 Pd3'
_symmetry_space_group_name_H-M 'P m -3 m'
_symmetry_Int_Tables_number 221
_symmetry_space_group_name_Hall '-P 4 2 3'
_cell_length_a 3.9108
_cell_length_b 3.9108
_cell_length_c 3.9108
_cell_angle_alpha 90.00
_cell_angle_beta 90.00
_cell_angle_gamma 90.00
loop_
_atom_site_label
_atom_site_type_symbol
_atom_site_fract_x
_atom_site_fract_y
_atom_site_fract_z
Mn1 Mn 0.0000 0.0000 0.0000
H1 H 0.5000 0.5000 0.5000
Pd1 Pd 0.0000 0.5000 0.5000
# DOS at the Fermi energy = 2.2 states/eV/f.u.
# Volume = 11.96 Å³ per atom
# Final energy = -24.393 eV per atom

No. 2
# LiMg, single point on PBEsol structure, DFT SCAN
data_LiMg
_chemical_formula_sum 'Li2 Mg2'
_symmetry_space_group_name_H-M 'P 4/n m m'
_symmetry_Int_Tables_number 129
_cell_length_a 3.2929
_cell_length_b 3.2929
_cell_length_c 7.3883
_cell_angle_alpha 90.00
_cell_angle_beta 90.00
_cell_angle_gamma 90.00
loop_
_symmetry_equiv_pos_as_xyz
'x,y,z'
'-x,-y,-z'
'-y+1/2,x,z'
'y+1/2,-x,-z'
'-x+1/2,-y+1/2,z'
'x+1/2,y+1/2,-z'
'y,-x+1/2,z'
'-y,x+1/2,-z'
'x+1/2,-y,-z'
'-x+1/2,y,z'
'-y,-x,-z'
'y,x,z'
'-x,y+1/2,-z'
'x,-y+1/2,z'
'y+1/2,x+1/2,-z'
'-y+1/2,-x+1/2,z'
loop_
_atom_site_label
_atom_site_type_symbol
_atom_site_fract_x
_atom_site_fract_y
_atom_site_fract_z
Li1 Li 0.2500 0.2500 0.1106
Mg1 Mg 0.2500 0.2500 0.6427
# DOS at the Fermi energy = 0.7 states/eV/f.u.
# Volume = 20.03 Å³ per atom
# Energy of formation from the pure elements = -39 meV/atom

No. 3
# K2CoH4I4O14, single point on PBEsol structure, DFT SCAN
data_K2CoH4I4O14
_chemical_formula_sum 'K2 Co1 H4 I4 O14'
_symmetry_space_group_name_H-M 'P 1'
_symmetry_Int_Tables_number 1
_cell_length_a 7.5602
_cell_length_b 7.7589
_cell_length_c 7.8058
_cell_angle_alpha 61.50
_cell_angle_beta 61.42
_cell_angle_gamma 60.90
loop_
_symmetry_equiv_pos_as_xyz
'x,y,z'
loop_
_atom_site_label
_atom_site_type_symbol
_atom_site_fract_x
_atom_site_fract_y
_atom_site_fract_z
K1 K 0.0000 0.0000 0.0000
K2 K 0.4705 0.0011 0.0004
Co1 Co 0.9208 0.5037 0.5132
H1 H 0.2077 0.4731 0.6362
H2 H 0.3104 0.5292 0.3732
H3 H 0.5310 0.6228 0.5042
H4 H 0.6385 0.3570 0.5648
I1 I 0.5015 0.9933 0.4896
I2 I 0.5212 0.4857 0.9678
I3 I 0.9662 0.5174 0.0421
I4 I 0.9865 0.0066 0.5086
O1 O 0.0312 0.1757 0.5779
O2 O 0.0518 0.1343 0.2287
O3 O 0.0817 0.5360 0.1934
O4 O 0.1869 0.5021 0.5045
O5 O 0.2168 0.4183 0.8548
O6 O 0.4038 0.8640 0.4214
O7 O 0.4176 0.8650 0.7699
O8 O 0.4867 0.5803 0.1602
O9 O 0.5793 0.2051 0.1123
O10 O 0.6342 0.4888 0.5692
O11 O 0.6916 0.1345 0.5746
O12 O 0.7856 0.8245 0.4183
O13 O 0.8074 0.4685 0.8250
O14 O 0.8943 0.7955 0.8890
# DOS at the Fermi energy = 0.0 states/eV/f.u.
# Volume = 13.32 Å³ per atom
# Final energy = -12.174 eV per atom